[1]
Tb2EuSn: relaxed, GGA-PBE.

Energy relative to the elements in eV per formula unit: 0.430
SG: R-3m (166)
Excess energy over the best structure of this formula in the dataset in eV per formula unit: 1.96

Unit cell a=12.415 b=12.415 c=12.415 alpha=16.48 beta=16.48 gamma=16.48
Positions (direct):
Tb  0.085  0.085  0.085
Tb  0.915  0.915  0.915
Eu  0.500  0.500  0.500
Sn  0.000  0.000  0.000

***

[2]
BaPaSn2O8: relaxed, GGA-PBE.

Formation energy without anion corrections in eV/atom: -2.051
SG: I-4m2 (119)

Unit cell a=6.397 b=6.397 c=6.397 alpha=108.32 beta=108.32 gamma=111.80
Positions (direct):
Ba  0.000  0.000  0.000
Pa  0.250  0.750  0.500
Sn  0.500  0.500  0.000
Sn  0.750  0.250  0.500
O  0.324  0.117  0.793
O  0.324  0.531  0.207
O  0.372  0.038  0.334
O  0.469  0.676  0.793
O  0.704  0.038  0.666
O  0.883  0.676  0.207
O  0.962  0.296  0.334
O  0.962  0.628  0.666

***

[3]
SrPAu2: relaxed, GGA-PBE.

Energy relative to the elements in eV per formula unit: -0.572
SG: Pmmm (47)

Unit cell a=3.824 b=4.025 c=5.873 alpha=90.00 beta=90.00 gamma=90.00
Positions (direct):
Sr  0.000  0.000  0.000
P  0.000  0.000  0.500
Au  0.500  0.500  0.265
Au  0.500  0.500  0.735

***

[4]
CeEuMgPb: relaxed, GGA-PBE.

Energy relative to the elements in eV per formula unit: -0.970
SG: F-43m (216)

Unit cell a=5.573 b=5.573 c=5.573 alpha=60.00 beta=60.00 gamma=60.00
Positions (direct):
Ce  0.000  0.000  0.000
Eu  0.500  0.500  0.500
Mg  0.250  0.250  0.250
Pb  0.750  0.750  0.750

***

[5]
La2Cd3Au: relaxed, GGA-PBE.

Energy relative to the elements in eV per formula unit: -2.960
SG: Pmm2 (25)

Unit cell a=3.575 b=5.045 c=8.720 alpha=90.00 beta=90.00 gamma=90.00
Positions (direct):
La  0.000  0.000  0.000
La  0.000  0.500  0.468
Cd  0.500  0.000  0.651
Cd  0.500  0.500  0.147
Cd  0.500  0.500  0.813
Au  0.500  0.000  0.318

***

[6]
ScCd4Pt: relaxed, GGA-PBE.

Energy relative to the elements in eV per formula unit: -0.316
SG: F-43m (216)

Unit cell a=5.579 b=5.579 c=5.579 alpha=60.00 beta=60.00 gamma=60.00
Positions (direct):
Sc  0.000  0.000  0.000
Cd  0.126  0.625  0.625
Cd  0.625  0.126  0.625
Cd  0.625  0.625  0.126
Cd  0.625  0.625  0.625
Pt  0.250  0.250  0.250

***

[7]
ReAu2Br: relaxed, GGA-PBE.

Formation energy without anion corrections in eV/atom: 0.560
SG: Imm2 (44)
Excess energy over the best structure of this formula in the dataset in eV per formula unit: 0.21

Unit cell a=7.213 b=7.213 c=7.213 alpha=156.84 beta=142.76 gamma=44.31
Positions (direct):
Re  0.000  0.000  0.000
Au  0.178  0.678  0.500
Au  0.543  0.543  0.000
Br  0.846  0.346  0.500

***

[8]
RbPuCoS3: relaxed, GGA-PBE.

Formation energy without anion corrections in eV/atom: -1.178
SG: P2_1/m (11)

Unit cell a=9.091 b=3.932 c=9.291 alpha=90.00 beta=109.77 gamma=90.00
Positions (direct):
Rb  0.202  0.250  0.237
Rb  0.798  0.750  0.763
Pu  0.324  0.750  0.842
Pu  0.676  0.250  0.158
Co  0.079  0.250  0.587
Co  0.921  0.750  0.413
S  0.124  0.250  0.844
S  0.176  0.750  0.534
S  0.466  0.750  0.153
S  0.534  0.250  0.847
S  0.824  0.250  0.466
S  0.876  0.750  0.156

***

[9]
Ac6La2Y: relaxed, GGA-PBE.

Energy relative to the elements in eV per formula unit: 0.670
SG: P-6m2 (187)
Excess energy over the best structure of this formula in the dataset in eV per formula unit: 0.00

Unit cell a=3.903 b=3.903 c=28.990 alpha=90.00 beta=90.00 gamma=120.00
Positions (direct):
Ac  0.000  0.000  0.065
Ac  0.000  0.000  0.283
Ac  0.000  0.000  0.717
Ac  0.000  0.000  0.935
Ac  0.333  0.667  0.397
Ac  0.333  0.667  0.603
La  0.333  0.667  0.172
La  0.333  0.667  0.828
Y  0.000  0.000  0.500

***

[10]
AgHg2Rh: relaxed, GGA-PBE.

Energy relative to the elements in eV per formula unit: 0.992
SG: R3m (160)

Unit cell a=10.102 b=10.102 c=10.102 alpha=17.07 beta=17.07 gamma=17.07
Positions (direct):
Ag  0.000  0.000  0.000
Hg  0.248  0.248  0.248
Hg  0.484  0.484  0.484
Rh  0.742  0.742  0.742

***

[11]
Na5H7Se4O18: relaxed, GGA-PBE.

SG: P1 (1)
Excess energy over the best structure of this formula in the dataset in eV per formula unit: 0.09

Unit cell a=6.080 b=7.420 c=10.041 alpha=102.83 beta=99.26 gamma=100.22
Positions (direct):
Na  0.000  0.000  0.000
Na  0.134  0.173  0.399
Na  0.348  0.258  0.806
Na  0.654  0.739  0.193
Na  0.866  0.826  0.603
H  0.043  0.672  0.087
H  0.147  0.394  0.051
H  0.284  0.558  0.616
H  0.500  0.996  0.499
H  0.716  0.441  0.387
H  0.854  0.604  0.947
H  0.959  0.327  0.911
Se  0.247  0.690  0.372
Se  0.414  0.796  0.823
Se  0.586  0.203  0.179
Se  0.752  0.308  0.629
O  0.052  0.819  0.396
O  0.096  0.297  0.962
O  0.221  0.914  0.772
O  0.229  0.516  0.451
O  0.252  0.612  0.204
O  0.312  0.559  0.720
O  0.330  0.123  0.207
O  0.414  0.771  0.981
O  0.487  0.159  0.557
O  0.513  0.840  0.444
O  0.586  0.228  0.021
O  0.669  0.876  0.794
O  0.689  0.439  0.282
O  0.749  0.387  0.797
O  0.773  0.483  0.550
O  0.778  0.084  0.230
O  0.905  0.702  0.037
O  0.947  0.179  0.604

***

[12]
TiMnCdTe2: relaxed, GGA-PBE.

Formation energy without anion corrections in eV/atom: 1.030
SG: P4/mmm (123)

Unit cell a=5.596 b=5.596 c=4.907 alpha=90.00 beta=90.00 gamma=90.00
Positions (direct):
Ti  0.000  0.000  0.000
Mn  0.500  0.500  0.000
Cd  0.500  0.500  0.500
Te  0.000  0.500  0.500
Te  0.500  0.000  0.500

***

[13]
Pm3HoSn: relaxed, GGA-PBE.

Energy relative to the elements in eV per formula unit: 0.083
SG: Cmcm (63)

Unit cell a=7.968 b=7.968 c=5.869 alpha=90.00 beta=90.00 gamma=109.22
Positions (direct):
Pm  0.000  0.000  0.000
Pm  0.000  0.000  0.500
Pm  0.145  0.526  0.750
Pm  0.474  0.855  0.750
Pm  0.526  0.145  0.250
Pm  0.855  0.474  0.250
Ho  0.446  0.554  0.250
Ho  0.554  0.446  0.750
Sn  0.216  0.784  0.250
Sn  0.784  0.216  0.750

***

[14]
TaTl2Cr: relaxed, GGA-PBE.

Energy relative to the elements in eV per formula unit: 3.972
SG: I-42d (122)
Excess energy over the best structure of this formula in the dataset in eV per formula unit: 2.01

Unit cell a=6.181 b=6.181 c=6.181 alpha=103.13 beta=103.13 gamma=123.07
Positions (direct):
Ta  0.000  0.000  0.000
Ta  0.750  0.250  0.500
Tl  0.139  0.625  0.014
Tl  0.375  0.389  0.514
Tl  0.611  0.125  0.986
Tl  0.875  0.861  0.486
Cr  0.250  0.750  0.500
Cr  0.500  0.500  0.000

***

[15]
Sm2DyIn3: relaxed, GGA-PBE.

Energy relative to the elements in eV per formula unit: -1.857
SG: Cmcm (63)
Excess energy over the best structure of this formula in the dataset in eV per formula unit: 1.05

Unit cell a=14.757 b=14.757 c=6.582 alpha=90.00 beta=90.00 gamma=165.65
Positions (direct):
Sm  0.005  0.995  0.750
Sm  0.152  0.848  0.250
Sm  0.848  0.152  0.750
Sm  0.995  0.005  0.250
Dy  0.330  0.670  0.250
Dy  0.670  0.330  0.750
In  0.257  0.743  0.750
In  0.423  0.577  0.508
In  0.423  0.577  0.992
In  0.577  0.423  0.008
In  0.577  0.423  0.492
In  0.743  0.257  0.250

***

[16]
Sr2LiCd4Au3: relaxed, GGA-PBE.

Energy relative to the elements in eV per formula unit: -4.480
SG: P-4m2 (115)

Unit cell a=4.373 b=4.373 c=13.123 alpha=90.00 beta=90.00 gamma=90.00
Positions (direct):
Sr  0.000  0.500  0.235
Sr  0.500  0.000  0.765
Li  0.000  0.000  0.500
Cd  0.000  0.000  0.000
Cd  0.000  0.500  0.637
Cd  0.500  0.000  0.363
Cd  0.500  0.500  0.000
Au  0.000  0.500  0.851
Au  0.500  0.000  0.149
Au  0.500  0.500  0.500

***

[17]
NbInCuRh: relaxed, GGA-PBE.

Energy relative to the elements in eV per formula unit: -0.832
SG: F-43m (216)

Unit cell a=4.514 b=4.514 c=4.514 alpha=60.00 beta=60.00 gamma=60.00
Positions (direct):
Nb  0.000  0.000  0.000
In  0.500  0.500  0.500
Cu  0.250  0.250  0.250
Rh  0.750  0.750  0.750

***

[18]
MgFeNi2C: relaxed, GGA-PBE.

Energy relative to the elements in eV per formula unit: 1.679
SG: P4/mmm (123)
Excess energy over the best structure of this formula in the dataset in eV per formula unit: 2.09

Unit cell a=3.750 b=3.750 c=4.238 alpha=90.00 beta=90.00 gamma=90.00
Positions (direct):
Mg  0.000  0.000  0.000
Fe  0.500  0.500  0.000
Ni  0.000  0.500  0.500
Ni  0.500  0.000  0.500
C  0.000  0.000  0.500

***

[19]
InSiRuO: relaxed, GGA-PBE.

Formation energy without anion corrections in eV/atom: -0.632
SG: Cm (8)
Excess energy over the best structure of this formula in the dataset in eV per formula unit: 1.42

Unit cell a=6.785 b=6.785 c=4.616 alpha=109.75 beta=109.75 gamma=23.39
Positions (direct):
In  0.000  0.000  0.000
Si  0.796  0.796  0.296
Ru  0.448  0.448  0.448
O  0.206  0.206  0.206

***

[20]
ZrOsS2: relaxed, GGA-PBE.

Formation energy without anion corrections in eV/atom: -0.244
SG: Fm-3m (225)
Excess energy over the best structure of this formula in the dataset in eV per formula unit: 0.90

Unit cell a=4.412 b=4.412 c=4.412 alpha=60.00 beta=60.00 gamma=60.00
Positions (direct):
Zr  0.000  0.000  0.000
Os  0.500  0.500  0.500
S  0.250  0.250  0.250
S  0.750  0.750  0.750

***

Final energy values (in eV/atom) by entry order: -5.78; -6.98; -3.55; -5.62; -3.14; -2.72; -4.61; -6.98; -4.48; -2.45; -5.04; -3.82; -4.55; -5.56; -4.02; -2.32; -6.27; -5.83; -6.23; -7.25.